1.
An optimized crystal structure of SrAlCl2. Source: Alexandria, functional PBE.

a b c (Å): 4.437 5.627 5.378
angles (deg): 90.00 114.27 90.00
Fractional positions:
Sr1 0.000 0.000 0.000
Al1 0.358 0.500 0.712
Cl1 0.113 0.500 0.226
Cl2 0.697 0.000 0.395

Computed properties:
For the uncorrected formation energy, the calculation gives -1.1445 eV/atom. For the calculated total energy, the calculation gives -3.424 eV/atom. The value obtained for the energy above the most stable polymorph in this dataset is 88 meV per atom. The density of states at the Fermi level comes out at 1.2 states/eV/cell. As for the size of the total moment: 1.0 μB per cell.

***

2.
An optimized crystal structure of La4SiCl. Source: Alexandria, functional PBE.

a b c (Å): 6.386 6.386 6.386
angles (deg): 60.00 60.00 60.00
Fractional positions:
La1 0.122 0.122 0.122
La2 0.122 0.122 0.633
La3 0.122 0.633 0.122
La4 0.633 0.122 0.122
Si1 0.750 0.750 0.750
Cl1 0.500 0.500 0.500

Computed properties:
For the uncorrected formation energy, the calculation gives 0.0892 eV/atom. For the calculated total energy, the calculation gives -4.407 eV/atom. The density of states at the Fermi level comes out at 4.8 states/eV/cell. As for the size of the total moment: 0.0 μB per cell.

***

3.
An optimized crystal structure of Nb7W3. Source: Alexandria, functional PBE.

a b c (Å): 8.836 8.836 5.510
angles (deg): 90.00 90.00 120.00
Fractional positions:
Nb1 0.000 0.500 0.000
Nb2 0.000 0.500 0.500
Nb3 0.123 0.246 0.250
Nb4 0.123 0.877 0.250
Nb5 0.246 0.123 0.750
Nb6 0.333 0.667 0.250
Nb7 0.500 0.000 0.000
Nb8 0.500 0.000 0.500
Nb9 0.500 0.500 0.000
Nb10 0.500 0.500 0.500
Nb11 0.667 0.333 0.750
Nb12 0.754 0.877 0.250
Nb13 0.877 0.123 0.750
Nb14 0.877 0.754 0.750
W1 0.222 0.443 0.750
W2 0.222 0.778 0.750
W3 0.443 0.222 0.250
W4 0.557 0.778 0.750
W5 0.778 0.222 0.250
W6 0.778 0.557 0.250

Computed properties:
For the calculated total energy, the calculation gives -10.670 eV/atom. The density of states at the Fermi level comes out at 16.2 states/eV/cell. As for the size of the total moment: 0.0 μB per cell. The calculated formation energy is 0.264 eV/atom.

***

4.
An optimized crystal structure of BaHg3Pt2. Source: Alexandria, functional PBE.

a b c (Å): 6.946 6.946 6.946
angles (deg): 84.49 84.49 84.49
Fractional positions:
Ba1 0.228 0.228 0.228
Ba2 0.772 0.772 0.772
Hg1 0.255 0.255 0.728
Hg2 0.255 0.728 0.255
Hg3 0.272 0.745 0.745
Hg4 0.728 0.255 0.255
Hg5 0.745 0.272 0.745
Hg6 0.745 0.745 0.272
Pt1 0.000 0.000 0.000
Pt2 0.000 0.500 0.500
Pt3 0.500 0.000 0.500
Pt4 0.500 0.500 0.000

Computed properties:
For the calculated total energy, the calculation gives -2.653 eV/atom. The density of states at the Fermi level comes out at 4.7 states/eV/cell. As for the size of the total moment: 0.0 μB per cell. The calculated formation energy is -0.168 eV/atom.